{"formula": "Mg2AgW", "functional": "PBEsol", "state": "relaxed", "cell": [[2.9158, 0.0000, 0.0000], [0.0000, 4.7584, 0.0000], [0.0000, 0.0000, 4.9744]], "species": ["W", "Mg", "Mg", "Ag"], "frac_coords": [[0.5000, 0.5000, 0.0000], [0.5000, 0.0000, 0.5000], [0.0000, 0.0000, 0.0000], [0.0000, 0.5000, 0.5000]], "volume_a3_per_cell": 69.0, "space_group": "Pmmm, No. 47", "formation_energy_ev_per_atom": 0.545, "dos_at_fermi_per_ev_cell": 3.3, "polymorph_energy_kj_per_mol_atoms": 4.8}

{"formula": "YMg2Ag", "functional": "PBEsol", "state": "relaxed", "cell": [[-2.1972, -2.4072, 0.0774], [-0.0558, -2.2330, -2.3747], [5.5776, -7.1584, 4.3624]], "species": ["Mg", "Mg", "Ag", "Y"], "frac_coords": [[0.2611, 0.2611, 0.2167], [0.7389, 0.7389, 0.7833], [0.0000, 0.0000, 0.0000], [0.5000, 0.5000, 0.5000]], "volume_a3_per_cell": 91.0, "space_group": "R-3m, No. 166", "formation_energy_ev_per_atom": 0.000, "dos_at_fermi_per_ev_cell": 2.5}

{"formula": "Y2MgAg", "functional": "PBEsol", "state": "relaxed", "cell": [[-3.0623, 0.1281, -1.6453], [-1.4680, -3.8885, 2.4295], [-0.6227, 3.4295, 5.1127]], "species": ["Ag", "Mg", "Y", "Y"], "frac_coords": [[0.3069, 0.0000, 0.4888], [0.4414, 0.5000, 0.7578], [0.7149, 0.5000, 0.3052], [0.0367, 0.0000, 0.9482]], "volume_a3_per_cell": 99.4, "space_group": "Amm2, No. 38", "formation_energy_ev_per_atom": -0.126, "dos_at_fermi_per_ev_cell": 4.8}

{"formula": "YMg2Ag", "functional": "PBEsol", "state": "relaxed", "cell": [[3.3214, 0.0000, 0.0000], [0.0000, 5.1948, 0.0000], [-1.6607, -2.5974, 5.2745]], "species": ["Mg", "Mg", "Ag", "Y"], "frac_coords": [[0.7170, 0.7170, 0.4340], [0.2830, 0.2830, 0.5660], [0.0000, 0.5000, 0.0000], [0.5000, 0.0000, 0.0000]], "volume_a3_per_cell": 91.0, "space_group": "Immm, No. 71", "formation_energy_ev_per_atom": -0.134, "dos_at_fermi_per_ev_cell": 2.5}

{"formula": "Y2MgAg2", "functional": "PBEsol", "state": "relaxed", "cell": [[5.6027, 0.0000, 0.0000], [-2.8014, 4.9217, -0.0223], [0.0000, 3.2098, 4.5921]], "species": ["Y", "Y", "Mg", "Ag", "Ag"], "frac_coords": [[0.2500, 0.5000, 0.2500], [0.7500, 0.5000, 0.7500], [0.0000, 0.0000, 0.0000], [0.3450, 0.6899, 0.6550], [0.6550, 0.3101, 0.3450]], "volume_a3_per_cell": 127.0, "space_group": "I4/mmm, No. 139", "formation_energy_ev_per_atom": -0.047, "dos_at_fermi_per_ev_cell": 1.3, "polymorph_energy_kj_per_mol_atoms": 24.2}

{"formula": "YMg2Ag", "functional": "PBEsol", "state": "relaxed", "cell": [[-0.7636, 0.6390, 3.2432], [1.2603, -4.1051, 1.1054], [6.0866, 1.6871, -0.6739]], "species": ["Ag", "Mg", "Mg", "Y"], "frac_coords": [[0.9380, 0.5000, 0.8760], [0.1997, 0.5000, 0.3994], [0.8036, 0.0000, 0.6072], [0.5384, 0.0000, 0.0768]], "volume_a3_per_cell": 92.1, "space_group": "Amm2, No. 38", "formation_energy_ev_per_atom": -0.120, "dos_at_fermi_per_ev_cell": 2.9}

{"formula": "Y4MgAg", "functional": "PBEsol", "state": "relaxed", "cell": [[6.2162, 0.0000, 0.0000], [3.1081, 5.3834, 0.0000], [3.1081, 1.7945, 5.0755]], "species": ["Y", "Y", "Y", "Y", "Ag", "Mg"], "frac_coords": [[0.3749, 0.3749, 0.8754], [0.3749, 0.3749, 0.3749], [0.3749, 0.8754, 0.3749], [0.8754, 0.3749, 0.3749], [0.7500, 0.7500, 0.7500], [0.0000, 0.0000, 0.0000]], "volume_a3_per_cell": 169.9, "space_group": "F-43m, No. 216", "formation_energy_ev_per_atom": 0.410, "dos_at_fermi_per_ev_cell": 6.5}

{"formula": "Y2MgAg", "functional": "PBEsol", "state": "relaxed", "cell": [[3.6258, 0.0000, 0.0000], [0.0000, 3.6258, 0.0000], [0.0000, 0.0000, 7.4702]], "species": ["Mg", "Ag", "Y", "Y"], "frac_coords": [[0.5000, 0.5000, 0.7115], [0.0000, 0.0000, 0.5236], [0.0000, 0.0000, 0.9793], [0.5000, 0.5000, 0.2856]], "volume_a3_per_cell": 98.2, "space_group": "P4mm, No. 99", "formation_energy_ev_per_atom": -0.134, "dos_at_fermi_per_ev_cell": 4.2}

{"formula": "Y2MgAg", "functional": "PBEsol", "state": "relaxed", "cell": [[3.7227, 0.0000, 0.0000], [0.0000, 5.1235, 0.0000], [0.0000, 0.0000, 5.1235]], "species": ["Mg", "Ag", "Y", "Y"], "frac_coords": [[0.5000, 0.0000, 0.0000], [0.5000, 0.5000, 0.5000], [0.0000, 0.5000, 0.0000], [0.0000, 0.0000, 0.5000]], "volume_a3_per_cell": 97.7, "space_group": "P4/mmm, No. 123", "formation_energy_ev_per_atom": -0.189, "dos_at_fermi_per_ev_cell": 2.9}

{"formula": "Y3MgAg", "functional": "PBEsol", "state": "relaxed", "cell": [[-2.8925, 2.4440, 3.9575], [-2.4746, -4.7546, 1.1276], [3.9384, -1.1925, 3.6150]], "species": ["Mg", "Ag", "Y", "Y", "Y"], "frac_coords": [[0.5000, 0.5000, 0.5000], [0.0000, 0.0000, 0.0000], [0.0000, 0.5000, 0.0000], [0.0000, 0.0000, 0.5000], [0.5000, 0.0000, 0.0000]], "volume_a3_per_cell": 164.3, "space_group": "Pm-3m, No. 221", "formation_energy_ev_per_atom": 0.284, "dos_at_fermi_per_ev_cell": 9.2}

{"formula": "YMg2Ag", "functional": "PBEsol", "state": "relaxed", "cell": [[-2.6741, 3.0443, -2.8640], [-4.3513, 1.7478, 1.6224], [-0.4523, 4.7896, 1.2150]], "species": ["Mg", "Mg", "Ag", "Y"], "frac_coords": [[0.5000, 0.5000, 0.5000], [0.7500, 0.7500, 0.7500], [0.0000, 0.0000, 0.0000], [0.2500, 0.2500, 0.2500]], "volume_a3_per_cell": 86.4, "space_group": "F-43m, No. 216", "formation_energy_ev_per_atom": -0.200, "dos_at_fermi_per_ev_cell": 2.7}

{"formula": "Y2MgAg2", "functional": "PBEsol", "state": "relaxed", "cell": [[3.7519, 0.0000, 0.0000], [0.0000, 7.9125, 0.0000], [0.0000, 0.0000, 7.9125]], "species": ["Y", "Y", "Y", "Y", "Ag", "Ag", "Ag", "Ag", "Mg", "Mg"], "frac_coords": [[0.5000, 0.6690, 0.8310], [0.5000, 0.8310, 0.3310], [0.5000, 0.3310, 0.1690], [0.5000, 0.1690, 0.6690], [0.0000, 0.1283, 0.3717], [0.0000, 0.3717, 0.8717], [0.0000, 0.6283, 0.1283], [0.0000, 0.8717, 0.6283], [0.0000, 0.5000, 0.5000], [0.0000, 0.0000, 0.0000]], "volume_a3_per_cell": 234.9, "space_group": "P4/mbm, No. 127", "formation_energy_ev_per_atom": -0.297, "dos_at_fermi_per_ev_cell": 9.7, "polymorph_energy_kj_per_mol_atoms": 0.0}

{"formula": "YMg2Ag", "functional": "PBEsol", "state": "relaxed", "cell": [[-2.2720, -3.4575, 1.1194], [1.9992, -2.2915, -3.0202], [3.4674, -1.2327, 3.2304]], "species": ["Ag", "Y", "Mg", "Mg"], "frac_coords": [[0.0000, 0.0000, 0.5000], [0.5000, 0.5000, 0.5000], [0.0000, 0.5000, 0.0000], [0.5000, 0.0000, 0.0000]], "volume_a3_per_cell": 89.9, "space_group": "P4/mmm, No. 123", "formation_energy_ev_per_atom": -0.130, "dos_at_fermi_per_ev_cell": 2.6}

{"formula": "Y2MgAg", "functional": "PBEsol", "state": "relaxed", "cell": [[-2.9269, -0.6654, 1.8869], [1.3662, -5.0150, 0.3506], [3.4494, 3.8826, 3.3889]], "species": ["Y", "Y", "Mg", "Ag"], "frac_coords": [[0.0056, 0.0055, 0.0111], [0.2195, 0.7196, 0.4391], [0.7879, 0.2879, 0.5758], [0.4870, 0.4870, 0.9740]], "volume_a3_per_cell": 98.7, "space_group": "Imm2, No. 44", "formation_energy_ev_per_atom": -0.143, "dos_at_fermi_per_ev_cell": 3.8}

{"formula": "YMg2Ag", "functional": "PBEsol", "state": "relaxed", "cell": [[3.5236, 0.0000, 0.0000], [0.0000, 3.5236, 0.0000], [0.0000, 0.0000, 7.2056]], "species": ["Ag", "Mg", "Mg", "Y"], "frac_coords": [[0.5000, 0.5000, 0.7722], [0.0000, 0.0000, 0.9788], [0.5000, 0.5000, 0.2253], [0.0000, 0.0000, 0.5236]], "volume_a3_per_cell": 89.5, "space_group": "P4mm, No. 99", "formation_energy_ev_per_atom": -0.164, "dos_at_fermi_per_ev_cell": 2.5}

{"formula": "MgZn2Ag", "functional": "PBEsol", "state": "relaxed", "cell": [[-0.0526, 1.6803, -3.6022], [-0.2706, -3.5956, -1.6733], [-3.8381, 1.1827, 2.8011]], "species": ["Ag", "Mg", "Zn", "Zn"], "frac_coords": [[0.5000, 0.5000, 0.0000], [0.0000, 0.0000, 0.0000], [0.2500, 0.7500, 0.5000], [0.7500, 0.2500, 0.5000]], "volume_a3_per_cell": 63.4, "space_group": "I4/mmm, No. 139", "formation_energy_ev_per_atom": -0.097, "dos_at_fermi_per_ev_cell": 1.1}

{"formula": "MgZn2Ag", "functional": "PBEsol", "state": "relaxed", "cell": [[-1.4877, 0.3961, -2.8505], [3.9559, -0.0222, -2.0676], [-1.5509, -4.5469, 2.0186]], "species": ["Zn", "Zn", "Mg", "Ag"], "frac_coords": [[0.7443, 0.2430, 0.4885], [0.0165, 0.0175, 0.0329], [0.2519, 0.7511, 0.5039], [0.4873, 0.4885, 0.9747]], "volume_a3_per_cell": 63.5, "space_group": "Cm, No. 8", "formation_energy_ev_per_atom": -0.078, "dos_at_fermi_per_ev_cell": 0.8}

{"formula": "MgZn2Ag", "functional": "PBEsol", "state": "relaxed", "cell": [[3.9526, 0.0000, 0.0000], [0.0000, 3.8968, 0.0000], [0.0000, 0.0000, 4.1372]], "species": ["Ag", "Zn", "Zn", "Mg"], "frac_coords": [[0.5000, 0.0000, 0.5000], [0.0000, 0.0000, 0.0000], [0.5000, 0.5000, 0.0000], [0.0000, 0.5000, 0.5000]], "volume_a3_per_cell": 63.7, "space_group": "Pmmm, No. 47", "formation_energy_ev_per_atom": -0.086, "dos_at_fermi_per_ev_cell": 1.2}

{"formula": "MgZn2Ag", "functional": "PBEsol", "state": "relaxed", "cell": [[4.1524, 0.0000, 0.0000], [0.0000, 4.1524, 0.0000], [-2.0762, -2.0762, 3.6816]], "species": ["Ag", "Zn", "Zn", "Mg"], "frac_coords": [[0.5000, 0.5000, 0.0000], [0.7500, 0.2500, 0.5000], [0.0000, 0.0000, 0.0000], [0.2500, 0.7500, 0.5000]], "volume_a3_per_cell": 63.5, "space_group": "I-4m2, No. 119", "formation_energy_ev_per_atom": -0.090, "dos_at_fermi_per_ev_cell": 1.0}

{"formula": "MgZn2Ag", "functional": "PBEsol", "state": "relaxed", "cell": [[-0.3194, 2.5966, -1.1193], [-1.2750, -1.7982, -3.8077], [-4.7707, -1.0618, 2.0988]], "species": ["Zn", "Zn", "Mg", "Ag"], "frac_coords": [[0.3332, 0.0000, 0.2436], [0.6668, 0.0000, 0.7564], [0.0000, 0.5000, 0.5000], [0.5000, 0.5000, 0.0000]], "volume_a3_per_cell": 64.7, "space_group": "P2/m, No. 10", "formation_energy_ev_per_atom": -0.051, "dos_at_fermi_per_ev_cell": 0.9}

{"formula": "MgZn2Ag", "functional": "PBEsol", "state": "relaxed", "cell": [[4.4705, 0.0000, 0.0000], [2.2352, 3.8716, 0.0000], [2.2352, 1.2905, 3.6501]], "species": ["Mg", "Zn", "Zn", "Ag"], "frac_coords": [[0.2500, 0.2500, 0.2500], [0.0000, 0.0000, 0.0000], [0.7500, 0.7500, 0.7500], [0.5000, 0.5000, 0.5000]], "volume_a3_per_cell": 63.2, "space_group": "F-43m, No. 216", "formation_energy_ev_per_atom": -0.086, "dos_at_fermi_per_ev_cell": 0.9}

{"formula": "MgZn2Ag", "functional": "PBEsol", "state": "relaxed", "cell": [[2.9104, 0.0000, -0.0079], [0.0000, 4.2506, 0.0000], [-1.4588, 0.0000, 5.2009]], "species": ["Mg", "Zn", "Zn", "Ag"], "frac_coords": [[0.5736, 0.5000, 0.7741], [0.3136, 0.5000, 0.2530], [0.1900, 0.0000, 0.0005], [0.9228, 0.0000, 0.4725]], "volume_a3_per_cell": 64.3, "space_group": "Pm, No. 6", "formation_energy_ev_per_atom": -0.097, "dos_at_fermi_per_ev_cell": 0.9}

{"formula": "Mg2ZnAg", "functional": "PBEsol", "state": "relaxed", "cell": [[3.0472, 0.0000, -0.1449], [0.0000, 4.4450, 0.0000], [-1.3188, 0.0000, 5.3677]], "species": ["Mg", "Mg", "Ag", "Zn"], "frac_coords": [[0.0420, 0.0000, 0.9530], [0.7093, 0.5000, 0.2993], [0.4455, 0.5000, 0.7624], [0.3031, 0.0000, 0.4853]], "volume_a3_per_cell": 71.9, "space_group": "Pm, No. 6", "formation_energy_ev_per_atom": -0.150, "dos_at_fermi_per_ev_cell": 1.2}

{"formula": "MgZnAg2", "functional": "PBEsol", "state": "relaxed", "cell": [[3.1707, 0.0000, 0.0000], [0.0000, 4.5342, 0.0019], [-1.5853, -1.6688, 4.5615]], "species": ["Zn", "Ag", "Ag", "Mg"], "frac_coords": [[0.2572, 0.7837, 0.5143], [0.9929, 0.9674, 0.9858], [0.7477, 0.2697, 0.4954], [0.5022, 0.4791, 0.0045]], "volume_a3_per_cell": 65.6, "space_group": "Cm, No. 8", "formation_energy_ev_per_atom": -0.137, "dos_at_fermi_per_ev_cell": 1.2}

{"formula": "Mg2ZnAg", "functional": "PBEsol", "state": "relaxed", "cell": [[3.3274, 0.0000, 0.0000], [0.0000, 4.5771, 0.0000], [-1.6637, -2.2886, 4.6311]], "species": ["Mg", "Mg", "Ag", "Zn"], "frac_coords": [[0.0128, 0.0128, 0.0257], [0.2357, 0.7357, 0.4713], [0.7647, 0.2647, 0.5295], [0.4867, 0.4867, 0.9735]], "volume_a3_per_cell": 70.5, "space_group": "Imm2, No. 44", "formation_energy_ev_per_atom": -0.129, "dos_at_fermi_per_ev_cell": 0.9}

{"formula": "MgZnAg2", "functional": "PBEsol", "state": "relaxed", "cell": [[-1.0161, -3.5362, -1.3810], [0.5980, -1.5609, 3.5568], [-3.8152, 3.3101, -0.0770]], "species": ["Mg", "Ag", "Ag", "Zn"], "frac_coords": [[0.5000, 0.5000, 0.0000], [0.0000, 0.0000, 0.0000], [0.7500, 0.2500, 0.5000], [0.2500, 0.7500, 0.5000]], "volume_a3_per_cell": 65.2, "space_group": "I-4m2, No. 119", "formation_energy_ev_per_atom": -0.164, "dos_at_fermi_per_ev_cell": 0.9}

{"formula": "MgZn2Ag", "functional": "PBEsol", "state": "relaxed", "cell": [[-3.1547, 0.9452, 0.4226], [-0.1628, -1.7913, 2.7909], [1.7875, 4.5994, 3.0564]], "species": ["Mg", "Zn", "Zn", "Ag"], "frac_coords": [[0.5000, 0.5000, 0.5000], [0.0000, 0.0000, 0.7620], [0.0000, 0.0000, 0.2380], [0.5000, 0.5000, 0.0000]], "volume_a3_per_cell": 64.0, "space_group": "P4/mmm, No. 123", "formation_energy_ev_per_atom": -0.078, "dos_at_fermi_per_ev_cell": 1.1}

{"formula": "Mg2ZnAg2", "functional": "PBEsol", "state": "relaxed", "cell": [[-1.2787, -2.1580, -2.9243], [6.0739, -3.2934, -0.2254], [-2.3735, -4.6851, 4.4951]], "species": ["Mg", "Mg", "Mg", "Mg", "Zn", "Zn", "Ag", "Ag", "Ag", "Ag"], "frac_coords": [[0.5000, 0.3390, 0.1610], [0.5000, 0.8390, 0.3390], [0.5000, 0.6610, 0.8390], [0.5000, 0.1610, 0.6610], [0.0000, 0.5000, 0.5000], [0.0000, 0.0000, 0.0000], [0.0000, 0.8572, 0.6428], [0.0000, 0.3572, 0.8572], [0.0000, 0.6428, 0.1428], [0.0000, 0.1428, 0.3572]], "volume_a3_per_cell": 184.1, "space_group": "P4/mbm, No. 127", "formation_energy_ev_per_atom": -0.104, "dos_at_fermi_per_ev_cell": 3.5}

{"formula": "MgZn4Ag", "functional": "PBEsol", "state": "relaxed", "cell": [[-2.0332, -2.7872, -3.6895], [-1.6705, -4.6639, 0.9862], [-4.9593, -0.9591, -0.0002]], "species": ["Ag", "Zn", "Zn", "Zn", "Zn", "Mg"], "frac_coords": [[0.7500, 0.7500, 0.7500], [0.8745, 0.3752, 0.3752], [0.3752, 0.3752, 0.8745], [0.3752, 0.8745, 0.3752], [0.3752, 0.3752, 0.3752], [0.0000, 0.0000, 0.0000]], "volume_a3_per_cell": 91.1, "space_group": "F-43m, No. 216", "formation_energy_ev_per_atom": -0.114, "dos_at_fermi_per_ev_cell": 1.6}

{"formula": "MgZnAg2", "functional": "PBEsol", "state": "relaxed", "cell": [[3.0191, 0.0000, 0.0000], [0.0000, 3.8187, 0.0000], [0.0000, 0.0000, 5.7394]], "species": ["Zn", "Ag", "Ag", "Mg"], "frac_coords": [[0.5000, 0.5000, 0.7666], [0.0000, 0.0000, 0.9847], [0.5000, 0.5000, 0.2534], [0.0000, 0.0000, 0.4953]], "volume_a3_per_cell": 66.2, "space_group": "Pmm2, No. 25", "formation_energy_ev_per_atom": -0.118, "dos_at_fermi_per_ev_cell": 1.2}